a) Entry from the Alexandria database: crystalline LaV2Co2 at its relaxed geometry (PBE).

Output
density of states at the Fermi level	1.2726	states/eV/atom

Cell lengths 4.141, 4.141, 5.750 Å; angles 68.89, 68.89, 90.00 degrees
Fractional positions:
La 0.000 0.000 0.000
Co 0.750 0.250 0.500
Co 0.250 0.750 0.500
V 0.359 0.359 0.282
V 0.641 0.641 0.718


b) Entry from the Alexandria database: crystalline LaV2Co2 at its relaxed geometry (PBE).

Output
density of states at the Fermi level	1.3141	states/eV/atom

Cell lengths 7.367, 7.367, 2.748 Å; angles 90.00, 90.00, 90.00 degrees
Fractional positions:
La 0.000 0.000 0.000
La 0.500 0.500 0.000
Co 0.128 0.628 0.500
Co 0.628 0.872 0.500
Co 0.872 0.372 0.500
Co 0.372 0.128 0.500
V 0.350 0.850 0.000
V 0.850 0.650 0.000
V 0.650 0.150 0.000
V 0.150 0.350 0.000


Least stable = b)


a) Entry from the Alexandria database: crystalline LaVCo3 at its relaxed geometry (PBE).

Output
density of states at the Fermi level	1.0871	states/eV/atom

Cell lengths 4.388, 4.388, 4.388 Å; angles 90.00, 90.00, 90.00 degrees
Fractional positions:
La 0.500 0.500 0.500
Co 0.000 0.500 0.000
Co 0.000 0.000 0.500
Co 0.500 0.000 0.000
V 0.000 0.000 0.000


b) Entry from the Alexandria database: crystalline LaVCo3 at its relaxed geometry (PBE).

Output
density of states at the Fermi level	1.5565	states/eV/atom

Cell lengths 4.508, 4.508, 4.508 Å; angles 90.00, 90.00, 90.00 degrees
Fractional positions:
La 0.000 0.000 0.000
Co 0.000 0.500 0.000
Co 0.000 0.000 0.500
Co 0.500 0.000 0.000
V 0.500 0.500 0.500


Least stable = b)


a) Entry from the Alexandria database: crystalline La2VCo at its relaxed geometry (PBE).

Output
density of states at the Fermi level	1.0874	states/eV/atom

Cell lengths 5.130, 5.130, 5.130 Å; angles 60.00, 60.00, 60.00 degrees
Fractional positions:
La 0.250 0.250 0.250
La 0.750 0.750 0.750
Co 0.500 0.500 0.500
V 0.000 0.000 0.000


b) Entry from the Alexandria database: crystalline La2VCo at its relaxed geometry (PBE).

Output
density of states at the Fermi level	1.4353	states/eV/atom

Cell lengths 7.854, 7.854, 6.381 Å; angles 52.02, 52.02, 90.00 degrees
Fractional positions:
La 0.673 0.125 0.250
La 0.077 0.625 0.250
La 0.375 0.327 0.750
La 0.875 0.923 0.750
Co 0.000 0.000 0.000
Co 0.750 0.250 0.500
V 0.500 0.500 0.000
V 0.250 0.750 0.500


Least stable = b)


a) Entry from the Alexandria database: crystalline LaV2Co at its relaxed geometry (PBE).

Output
density of states at the Fermi level	1.5582	states/eV/atom

Cell lengths 4.567, 4.567, 8.765 Å; angles 74.90, 74.90, 90.00 degrees
Fractional positions:
La 0.000 0.000 0.000
La 0.750 0.250 0.500
Co 0.500 0.500 0.000
Co 0.250 0.750 0.500
V 0.375 0.125 0.250
V 0.375 0.625 0.250
V 0.375 0.625 0.750
V 0.875 0.625 0.750


b) Entry from the Alexandria database: crystalline LaV2Co at its relaxed geometry (PBE).

Output
density of states at the Fermi level	0.8480	states/eV/atom

Cell lengths 4.432, 4.432, 4.432 Å; angles 60.00, 60.00, 60.00 degrees
Fractional positions:
La 0.500 0.500 0.500
Co 0.000 0.000 0.000
V 0.250 0.250 0.250
V 0.750 0.750 0.750


Least stable = a)


a) Entry from the Alexandria database: crystalline LaCoW2 at its relaxed geometry (PBE).

Output
density of states at the Fermi level	1.0082	states/eV/atom

Cell lengths 6.286, 6.286, 6.286 Å; angles 154.60, 136.50, 51.05 degrees
Fractional positions:
Co 0.750 0.250 0.500
La 0.250 0.750 0.500
W 0.954 0.954 0.000
W 0.546 0.546 0.000


b) Entry from the Alexandria database: crystalline LaCoW2 at its relaxed geometry (PBE).

Output
density of states at the Fermi level	1.1851	states/eV/atom

Cell lengths 4.276, 4.276, 5.941 Å; angles 68.88, 68.88, 59.98 degrees
Fractional positions:
Co 0.560 0.560 0.320
La 0.749 0.749 0.753
W 0.955 0.955 0.134
W 0.236 0.236 0.293


c) Entry from the Alexandria database: crystalline LaCoW2 at its relaxed geometry (PBE).

Output
density of states at the Fermi level	0.8121	states/eV/atom

Cell lengths 4.568, 4.568, 4.568 Å; angles 60.00, 60.00, 60.00 degrees
Fractional positions:
Co 0.000 0.000 0.000
W 0.250 0.250 0.250
W 0.750 0.750 0.750
La 0.500 0.500 0.500


d) Entry from the Alexandria database: crystalline LaCoW2 at its relaxed geometry (PBE).

Output
density of states at the Fermi level	0.9797	states/eV/atom

Cell lengths 5.755, 5.755, 5.755 Å; angles 140.93, 140.93, 56.44 degrees
Fractional positions:
Co 0.250 0.750 0.500
La 0.750 0.250 0.500
W 0.000 0.000 0.000
W 0.500 0.500 0.000


Least stable = c)


a) Entry from the Alexandria database: crystalline LaCo2W at its relaxed geometry (PBE).

Output
density of states at the Fermi level	1.4633	states/eV/atom

Cell lengths 3.124, 3.124, 7.062 Å; angles 90.00, 90.00, 90.00 degrees
Fractional positions:
Co 0.000 0.000 0.999
Co 0.500 0.500 0.180
La 0.000 0.000 0.485
W 0.500 0.500 0.836


b) Entry from the Alexandria database: crystalline LaCo2W at its relaxed geometry (PBE).

Output
density of states at the Fermi level	1.2714	states/eV/atom

Cell lengths 5.756, 5.756, 5.756 Å; angles 151.65, 133.51, 55.35 degrees
Fractional positions:
Co 0.007 0.007 0.000
Co 0.218 0.718 0.500
La 0.492 0.492 0.000
W 0.782 0.282 0.500


c) Entry from the Alexandria database: crystalline LaCo2W at its relaxed geometry (PBE).

Output
density of states at the Fermi level	1.0263	states/eV/atom

Cell lengths 4.759, 4.759, 2.864 Å; angles 90.00, 90.00, 90.06 degrees
Fractional positions:
Co 0.000 0.000 0.000
Co 0.500 0.500 0.000
La 0.500 0.000 0.500
W 0.000 0.500 0.500


Least stable = b)


a) Entry from the Alexandria database: crystalline LaCoW at its relaxed geometry (PBE).

Output
density of states at the Fermi level	1.8562	states/eV/atom

Cell lengths 4.497, 4.497, 4.497 Å; angles 60.00, 60.00, 60.00 degrees
Fractional positions:
Co 0.750 0.750 0.750
La 0.000 0.000 0.000
W 0.500 0.500 0.500


b) Entry from the Alexandria database: crystalline LaCoW at its relaxed geometry (PBE).

Output
density of states at the Fermi level	1.4032	states/eV/atom

Cell lengths 6.343, 6.343, 3.120 Å; angles 75.76, 75.76, 28.47 degrees
Fractional positions:
Co 0.035 0.035 0.965
La 0.335 0.335 0.665
W 0.630 0.630 0.370


Least stable = a)


a) Entry from the Alexandria database: crystalline LaCo3W at its relaxed geometry (PBE).

Output
density of states at the Fermi level	1.2624	states/eV/atom

Cell lengths 4.554, 4.554, 4.554 Å; angles 90.00, 90.00, 90.00 degrees
Fractional positions:
Co 0.000 0.500 0.000
Co 0.000 0.000 0.500
Co 0.500 0.000 0.000
W 0.000 0.000 0.000
La 0.500 0.500 0.500


b) Entry from the Alexandria database: crystalline LaCo3W at its relaxed geometry (PBE).

Output
density of states at the Fermi level	1.4152	states/eV/atom

Cell lengths 4.469, 4.469, 4.469 Å; angles 90.00, 90.00, 90.00 degrees
Fractional positions:
Co 0.000 0.500 0.000
Co 0.000 0.000 0.500
Co 0.500 0.000 0.000
W 0.500 0.500 0.500
La 0.000 0.000 0.000


Least stable = b)


a) Entry from the Alexandria database: crystalline LaYCo2 at its relaxed geometry (PBE).

Output
density of states at the Fermi level	1.2376	states/eV/atom

Cell lengths 6.773, 6.773, 4.044 Å; angles 72.63, 72.63, 32.01 degrees
Fractional positions:
Co 0.081 0.081 0.919
Co 0.678 0.678 0.822
La 0.491 0.491 0.509
Y 0.249 0.249 0.251


b) Entry from the Alexandria database: crystalline LaYCo2 at its relaxed geometry (PBE).

Output
density of states at the Fermi level	0.9722	states/eV/atom

Cell lengths 3.845, 3.845, 5.732 Å; angles 90.00, 90.00, 90.00 degrees
Fractional positions:
Co 0.000 0.000 0.945
Co 0.500 0.500 0.317
La 0.000 0.000 0.403
Y 0.500 0.500 0.836


c) Entry from the Alexandria database: crystalline LaYCo2 at its relaxed geometry (PBE).

Output
density of states at the Fermi level	0.9079	states/eV/atom

Cell lengths 3.936, 4.058, 5.705 Å; angles 69.18, 90.00, 90.00 degrees
Fractional positions:
Y 0.500 0.763 0.849
Co 0.000 0.188 0.999
Co 0.500 0.071 0.233
La 0.000 0.478 0.419


Least stable = b)


a) Entry from the Alexandria database: crystalline LaYCo2 at its relaxed geometry (PBE).

Output
density of states at the Fermi level	0.7761	states/eV/atom

Cell lengths 4.864, 4.864, 4.864 Å; angles 60.00, 60.00, 60.00 degrees
Fractional positions:
Y 0.000 0.000 0.000
Co 0.250 0.250 0.250
Co 0.750 0.750 0.750
La 0.500 0.500 0.500


b) Entry from the Alexandria database: crystalline LaYCo2 at its relaxed geometry (PBE).

Output
density of states at the Fermi level	1.6175	states/eV/atom

Cell lengths 4.752, 4.752, 4.752 Å; angles 60.00, 60.00, 60.00 degrees
Fractional positions:
Co 0.000 0.000 0.000
Co 0.250 0.250 0.250
La 0.500 0.500 0.500
Y 0.750 0.750 0.750


c) Entry from the Alexandria database: crystalline LaYCo2 at its relaxed geometry (PBE).

Output
density of states at the Fermi level	0.4836	states/eV/atom

Cell lengths 4.864, 4.862, 3.424 Å; angles 90.00, 90.00, 90.00 degrees
Fractional positions:
Co 0.000 0.000 0.000
Co 0.500 0.500 0.000
La 0.500 0.000 0.500
Y 0.000 0.500 0.500


d) Entry from the Alexandria database: crystalline LaYCo2 at its relaxed geometry (PBE).

Output
density of states at the Fermi level	1.5209	states/eV/atom

Cell lengths 7.052, 7.052, 7.052 Å; angles 31.73, 31.73, 31.73 degrees
Fractional positions:
Co 0.001 0.001 0.001
Co 0.499 0.499 0.499
La 0.250 0.250 0.250
Y 0.750 0.750 0.750


Least stable = b)


a) Entry from the Alexandria database: crystalline LaYCo2 at its relaxed geometry (PBE).

Output
density of states at the Fermi level	0.2572	states/eV/atom

Cell lengths 7.173, 7.173, 5.971 Å; angles 53.08, 53.08, 90.00 degrees
Fractional positions:
Y 0.500 0.500 0.000
Y 0.250 0.750 0.500
Co 0.640 0.125 0.250
Co 0.110 0.625 0.250
Co 0.375 0.360 0.750
Co 0.875 0.890 0.750
La 0.000 0.000 0.000
La 0.750 0.250 0.500


b) Entry from the Alexandria database: crystalline LaYCo2 at its relaxed geometry (PBE).

Output
density of states at the Fermi level	1.1155	states/eV/atom

Cell lengths 3.912, 5.750, 7.640 Å; angles 90.00, 90.00, 90.00 degrees
Fractional positions:
La 0.500 0.372 0.323
La 0.500 0.628 0.823
Y 0.000 0.126 0.680
Y 0.000 0.874 0.180
Co 0.000 0.664 0.527
Co 0.000 0.336 0.027
Co 0.500 0.858 0.470
Co 0.500 0.142 0.970


Least stable = a)